1.
This record from Alexandria describes a relaxed Na2Te4Pb3 crystal. The functional is PBE-GGA.

Cell lengths 15.665, 4.690, 11.893 Å; angles 90.00, 125.95, 90.00 degrees
Space group C2/m (No. 12)
Inequivalent atoms, fractional coordinates:
Na 0.137 0.000 0.372 x4
Te 0.091 0.000 0.898 x4
Te 0.233 0.500 0.306 x4
Pb 0.000 0.500 0.000 x2
Pb 0.202 0.500 0.813 x4

Computed properties:
Calculated density, g/cm³: 5.53
ΔE_f (raw), eV per atom: -0.535
Spin magnetization, μB per formula unit: 0.00
Crystal system: monoclinic

=====

2.
This record from Alexandria describes a relaxed Na3Te3Pb crystal. The functional is PBE-GGA.

Cell lengths 8.978, 14.762, 7.837 Å; angles 90.00, 95.68, 90.00 degrees
Space group C2/m (No. 12)
Inequivalent atoms, fractional coordinates:
Na 0.000 0.192 0.000 x4
Na 0.000 0.249 0.500 x4
Na 0.088 0.500 0.844 x4
Te 0.072 0.000 0.181 x4
Te 0.168 0.343 0.224 x8
Pb 0.193 0.000 0.595 x4

Computed properties:
Calculated density, g/cm³: 4.23
ΔE_f (raw), eV per atom: -0.583
E above lowest polymorph, meV/atom: 45
Spin magnetization, μB per formula unit: 0.00
Crystal system: monoclinic

=====

3.
This record from Alexandria describes a relaxed NaThTe4Pb2 crystal. The functional is PBE-GGA.

Cell lengths 8.000, 4.414, 8.104 Å; angles 90.00, 106.79, 90.00 degrees
Space group P2/m (No. 10)
Inequivalent atoms, fractional coordinates:
Na 0.000 0.000 0.000 x1
Th 0.500 0.500 0.000 x1
Te 0.256 0.500 0.244 x2
Te 0.257 0.000 0.758 x2
Pb 0.000 0.500 0.500 x1
Pb 0.500 0.000 0.500 x1

Computed properties:
Calculated density, g/cm³: 7.15
ΔE_f (raw), eV per atom: -0.691
Spin magnetization, μB per formula unit: 0.00
Crystal system: monoclinic

=====

4.
This record from Alexandria describes a relaxed Na3Th2Te6Pb crystal. The functional is PBE-GGA.

Cell lengths 7.900, 13.605, 8.015 Å; angles 90.00, 109.07, 90.00 degrees
Space group C2/m (No. 12)
Inequivalent atoms, fractional coordinates:
Na 0.000 0.000 0.000 x2
Na 0.000 0.338 0.000 x4
Th 0.000 0.165 0.500 x4
Te 0.240 0.000 0.744 x4
Te 0.248 0.172 0.259 x8
Pb 0.000 0.500 0.500 x2

Computed properties:
Calculated density, g/cm³: 6.14
ΔE_f (raw), eV per atom: -0.985
Spin magnetization, μB per formula unit: 0.03
Crystal system: monoclinic

=====

5.
This record from Alexandria describes a relaxed Na3TiTe6Pb2 crystal. The functional is PBE-GGA.

Cell lengths 7.667, 13.306, 7.875 Å; angles 90.00, 109.31, 90.00 degrees
Space group C2/m (No. 12)
Inequivalent atoms, fractional coordinates:
Na 0.000 0.000 0.000 x2
Na 0.000 0.317 0.000 x4
Ti 0.000 0.500 0.500 x2
Te 0.216 0.500 0.271 x4
Te 0.223 0.351 0.725 x8
Pb 0.000 0.163 0.500 x4

Computed properties:
Calculated density, g/cm³: 5.68
ΔE_f (raw), eV per atom: -0.623
Spin magnetization, μB per formula unit: 0.00
Crystal system: monoclinic

=====

6.
This record from Alexandria describes a relaxed NaTlTe2Pb crystal. The functional is PBE-GGA.

Cell lengths 17.051, 5.060, 8.825 Å; angles 90.00, 92.83, 90.00 degrees
Space group C2/m (No. 12)
Inequivalent atoms, fractional coordinates:
Na 0.188 0.000 0.423 x4
Tl 0.230 0.000 0.813 x4
Te 0.121 0.000 0.100 x4
Te 0.126 0.500 0.563 x4
Pb 0.036 0.500 0.248 x4

Computed properties:
Calculated density, g/cm³: 6.02
ΔE_f (raw), eV per atom: -0.432
Spin magnetization, μB per formula unit: 0.00
Crystal system: monoclinic